{
  "formula": "NpBiS",
  "functional": "PBE",
  "state": "optimized geometry",
  "cell": [[-0.4571, 1.4582, -3.2132], [2.9365, -1.6394, -1.1617], [-4.5842, -4.6976, 0.4902]],
  "species": ["Np", "S", "Bi"],
  "frac_coords": [[0.7075, 0.7075, 0.4151], [0.2901, 0.2901, 0.5802], [0.0024, 0.0024, 0.0048]],
  "crystal_system": "tetragonal",
  "formation_energy_uncorrected_mev_per_atom": -602.9,
  "n_ef_per_ev_cell": 8.2
}